Record 1
CaPtS2O8: relaxed, PBE.

As for the magnetic moment: 2.000 μB per formula unit. The formation energy without anion corrections is -1349.3 meV/atom. The space group is P-3m1 (164).

a b c (Å): 5.184 5.184 7.177
angles (deg): 90.00 90.00 120.00
Atoms (fractional coordinates):
Ca: 0.000 0.000 0.000
Pt: 0.000 0.000 0.500
S: 0.333 0.667 0.208
S: 0.667 0.333 0.792
O: 0.175 0.349 0.272
O: 0.175 0.825 0.272
O: 0.333 0.667 0.003
O: 0.349 0.175 0.728
O: 0.651 0.825 0.272
O: 0.667 0.333 0.997
O: 0.825 0.175 0.728
O: 0.825 0.651 0.728

---

Record 2
Ac2ZrMn2N6: relaxed, PBE.

As for the magnetic moment: 0.000 μB per formula unit. The formation energy without anion corrections is -863.0 meV/atom. The space group is R-3m (166).

a b c (Å): 6.428 6.428 6.428
angles (deg): 54.34 54.34 54.34
Atoms (fractional coordinates):
Ac: 0.229 0.229 0.229
Ac: 0.771 0.771 0.771
Zr: 0.000 0.000 0.000
Mn: 0.439 0.439 0.439
Mn: 0.561 0.561 0.561
N: 0.250 0.250 0.748
N: 0.250 0.748 0.250
N: 0.252 0.750 0.750
N: 0.748 0.250 0.250
N: 0.750 0.252 0.750
N: 0.750 0.750 0.252